VASP calculation (PBE-GGA) on LiTbPmRe after structural relaxation.

As for the calculated formation energy: 117 meV/atom. The total magnetic moment comes out at 0.000 μB per cell.

It has space group F-43m (No. 216), with a = 7.0445 Å, b = 7.0445 Å, c = 7.0445 Å, α = 90.00°, β = 90.00° and γ = 90.00°. The asymmetric unit holds Li at (0.0000, 0.0000, 0.0000), Tb at (0.2500, 0.2500, 0.7500), Pm at (0.2500, 0.2500, 0.2500) and Re at (0.0000, 0.0000, 0.5000).

***

VASP calculation (PBE-GGA) on LiPmTmRe after structural relaxation.

As for the calculated formation energy: 100 meV/atom. The total magnetic moment comes out at 0.000 μB per cell.

It has space group F-43m (No. 216), with a = 6.9968 Å, b = 6.9968 Å, c = 6.9968 Å, α = 90.00°, β = 90.00° and γ = 90.00°. The asymmetric unit holds Li at (0.0000, 0.0000, 0.0000), Pm at (0.2500, 0.2500, 0.2500), Tm at (0.2500, 0.2500, 0.7500) and Re at (0.0000, 0.0000, 0.5000).

***

VASP calculation (PBE-GGA) on LiPmZrRe after structural relaxation.

As for the calculated formation energy: 57 meV/atom. The total magnetic moment comes out at 0.006 μB per cell.

It has space group F-43m (No. 216), with a = 6.8622 Å, b = 6.8622 Å, c = 6.8622 Å, α = 90.00°, β = 90.00° and γ = 90.00°. The asymmetric unit holds Li at (0.0000, 0.0000, 0.0000), Pm at (0.2500, 0.2500, 0.7500), Zr at (0.2500, 0.2500, 0.2500) and Re at (0.0000, 0.0000, 0.5000).

***

VASP calculation (PBE-GGA) on LiPm4Rh2 after structural relaxation.

As for the calculated formation energy: -395 meV/atom. The total magnetic moment comes out at 0.000 μB per cell.

It has space group Cc (No. 9), with a = 9.5303 Å, b = 12.6208 Å, c = 7.0704 Å, α = 90.00°, β = 119.28° and γ = 90.00°. The asymmetric unit holds Li at (0.0000, 0.9998, 0.0000), Pm at (0.0172, 0.2370, 0.1932), Pm at (0.1847, 0.4294, 0.5901), Pm at (0.3133, 0.0109, 0.4776), Pm at (0.3767, 0.2794, 0.0984), Rh at (0.0416, 0.3864, 0.8737) and Rh at (0.2109, 0.1870, 0.6544).

***

What did the fourth record say?
VASP calculation (PBE-GGA) on LiPm4Rh2 after structural relaxation.

As for the calculated formation energy: -395 meV/atom. The total magnetic moment comes out at 0.000 μB per cell.

It has space group Cc (No. 9), with a = 9.5303 Å, b = 12.6208 Å, c = 7.0704 Å, α = 90.00°, β = 119.28° and γ = 90.00°. The asymmetric unit holds Li at (0.0000, 0.9998, 0.0000), Pm at (0.0172, 0.2370, 0.1932), Pm at (0.1847, 0.4294, 0.5901), Pm at (0.3133, 0.0109, 0.4776), Pm at (0.3767, 0.2794, 0.0984), Rh at (0.0416, 0.3864, 0.8737) and Rh at (0.2109, 0.1870, 0.6544).